(1)
CuTcSb | GGA-PBE | optimized geometry

```
CuTcSb
1.0
3.3574 0.0000 0.0000
0.0000 3.3574 0.0000
0.0000 0.0000 8.5867
Cu Tc Sb
2 2 2
Direct
0.0000 0.0000 0.0000
0.5000 0.5000 0.5000
0.0000 0.0000 0.3362
0.5000 0.5000 0.8362
0.0000 0.0000 0.6695
0.5000 0.5000 0.1695
```

## Properties
Space group: I4mm, No. 107
ΔE to the lowest computed polymorph in kJ/mol of formula units: 50
E_tot in eV/cell: -35.68

---

(2)
Cu2TcSb | GGA-PBE | optimized geometry

```
Cu2TcSb
1.0
6.2331 0.0000 0.0000
0.0000 6.2331 0.0000
0.0000 0.0000 6.2331
Cu Tc Sb
8 4 4
Direct
0.0000 0.0000 0.0000
0.0000 0.5000 0.5000
0.2500 0.2500 0.2500
0.2500 0.7500 0.7500
0.5000 0.0000 0.5000
0.5000 0.5000 0.0000
0.7500 0.2500 0.7500
0.7500 0.7500 0.2500
0.0000 0.0000 0.5000
0.0000 0.5000 0.0000
0.5000 0.0000 0.0000
0.5000 0.5000 0.5000
0.2500 0.2500 0.7500
0.2500 0.7500 0.2500
0.7500 0.2500 0.2500
0.7500 0.7500 0.7500
```

## Properties
Space group: F-43m, No. 216
E_tot in eV/cell: -86.44

---

(3)
CuTcSb | GGA-PBE | optimized geometry

```
CuTcSb
1.0
5.9215 0.0000 0.0000
0.0000 5.6534 0.0000
-0.1278 0.0000 6.3163
Cu Tc Sb
4 4 4
Direct
0.2239 0.0000 0.2187
0.2761 0.5000 0.7813
0.7239 0.5000 0.2187
0.7761 0.0000 0.7813
0.0000 0.2833 0.5000
0.0000 0.7167 0.5000
0.5000 0.2167 0.5000
0.5000 0.7833 0.5000
0.2300 0.0000 0.7983
0.2700 0.5000 0.2017
0.7300 0.5000 0.7983
0.7700 0.0000 0.2017
```

## Properties
Space group: C2/m, No. 12
ΔE to the lowest computed polymorph in kJ/mol of formula units: 0
E_tot in eV/cell: -73.43

---

(4)
CuTcSb | GGA-PBE | optimized geometry

```
CuTcSb
1.0
7.8053 0.0000 0.0000
0.0000 3.9666 0.0000
-3.0914 0.0000 7.0290
Cu Tc Sb
4 4 4
Direct
0.0000 0.0000 0.0000
0.1238 0.0000 0.3608
0.5000 0.5000 0.0000
0.6238 0.5000 0.3608
0.1342 0.5000 0.8206
0.2865 0.0000 0.7413
0.6342 0.0000 0.8206
0.7865 0.5000 0.7413
0.3585 0.0000 0.1408
0.3925 0.5000 0.5482
0.8585 0.5000 0.1408
0.8925 0.0000 0.5482
```

## Properties
Space group: Cm, No. 8
ΔE to the lowest computed polymorph in kJ/mol of formula units: 25
E_tot in eV/cell: -72.38

---

(5)
Cu2TcSb | GGA-PBE | optimized geometry

```
Cu2TcSb
1.0
2.8545 0.0000 0.0000
0.0000 2.8545 0.0000
0.0000 0.0000 8.0731
Cu Tc Sb
2 1 1
Direct
0.0000 0.0000 0.2158
0.0000 0.0000 0.7842
0.5000 0.5000 0.0000
0.5000 0.5000 0.5000
```

## Properties
Space group: P4/mmm, No. 123
E_tot in eV/cell: -20.78

---

(6)
CuTcSb3 | GGA-PBE | optimized geometry

```
CuTcSb3
1.0
5.0115 0.0000 0.0000
0.0000 5.0115 0.0000
0.0000 0.0000 5.0115
Cu Tc Sb
1 1 3
Direct
0.0000 0.0000 0.0000
0.5000 0.5000 0.5000
0.0000 0.0000 0.5000
0.0000 0.5000 0.0000
0.5000 0.0000 0.0000
```

## Properties
Space group: Pm-3m, No. 221
ΔE to the lowest computed polymorph in kJ/mol of formula units: 150
E_tot in eV/cell: -21.64

---

(7)
Cu3TcSb | GGA-PBE | optimized geometry

```
Cu3TcSb
1.0
4.6407 0.0000 0.0000
0.0000 4.6407 0.0000
0.0000 0.0000 4.6407
Cu Tc Sb
3 1 1
Direct
0.0000 0.0000 0.5000
0.0000 0.5000 0.0000
0.5000 0.0000 0.0000
0.0000 0.0000 0.0000
0.5000 0.5000 0.5000
```

## Properties
Space group: Pm-3m, No. 221
ΔE to the lowest computed polymorph in kJ/mol of formula units: 0
E_tot in eV/cell: -20.67

---

(8)
CuTcSb | GGA-PBE | optimized geometry

```
CuTcSb
1.0
3.0562 0.0000 0.0000
0.0000 13.4390 0.0000
0.0000 0.0000 5.1117
Cu Tc Sb
4 4 4
Direct
0.0000 0.1584 0.0000
0.0000 0.8416 0.0000
0.5000 0.3416 0.5000
0.5000 0.6584 0.5000
0.0000 0.0000 0.3158
0.0000 0.5000 0.3854
0.5000 0.0000 0.8854
0.5000 0.5000 0.8158
0.0000 0.3521 0.0181
0.0000 0.6479 0.0181
0.5000 0.1479 0.5181
0.5000 0.8521 0.5181
```

## Properties
Space group: Imm2, No. 44
ΔE to the lowest computed polymorph in kJ/mol of formula units: 31
E_tot in eV/cell: -72.15

---

(9)
CuTcSb2Te | GGA-PBE | optimized geometry

```
CuTcSb2Te
1.0
5.0156 0.0000 0.0000
0.0000 5.0156 0.0000
0.0000 0.0000 5.1340
Cu Tc Sb Te
1 1 2 1
Direct
0.0000 0.0000 0.0000
0.5000 0.5000 0.5000
0.0000 0.5000 0.0000
0.5000 0.0000 0.0000
0.0000 0.0000 0.5000
```

## Properties
Space group: P4/mmm, No. 123
ΔE to the lowest computed polymorph in kJ/mol of formula units: 139
E_tot in eV/cell: -20.61

---

(10)
CuTcSb2Te | GGA-PBE | optimized geometry

```
CuTcSb2Te
1.0
5.1299 0.0000 0.0000
0.0000 5.1299 0.0000
0.0000 0.0000 5.2421
Cu Tc Sb Te
1 1 2 1
Direct
0.0000 0.0000 0.0000
0.5000 0.5000 0.5000
0.0000 0.5000 0.5000
0.5000 0.0000 0.5000
0.5000 0.5000 0.0000
```

## Properties
Space group: P4/mmm, No. 123
ΔE to the lowest computed polymorph in kJ/mol of formula units: 0
E_tot in eV/cell: -22.06

---

(11)
CuTc2SbTe | GGA-PBE | optimized geometry

```
CuTc2SbTe
1.0
4.8784 0.0000 0.0000
0.0000 4.8784 0.0000
0.0000 0.0000 4.6652
Cu Tc Sb Te
1 2 1 1
Direct
0.0000 0.0000 0.0000
0.0000 0.5000 0.0000
0.5000 0.0000 0.0000
0.5000 0.5000 0.5000
0.0000 0.0000 0.5000
```

## Properties
Space group: P4/mmm, No. 123
E_tot in eV/cell: -25.40

---

(12)
Zr2CuTcSb | GGA-PBE | optimized geometry

```
Zr2CuTcSb
1.0
5.0158 0.0000 0.0000
0.0000 5.0158 0.0000
0.0000 0.0000 4.9996
Zr Cu Tc Sb
2 1 1 1
Direct
0.0000 0.5000 0.0000
0.5000 0.0000 0.0000
0.0000 0.0000 0.5000
0.5000 0.5000 0.0000
0.5000 0.5000 0.5000
```

## Properties
Space group: P4/mmm, No. 123
E_tot in eV/cell: -32.88

---

(13)
CuSbTe4 | GGA-PBE | optimized geometry

```
CuSbTe4
1.0
5.8117 0.0000 0.0000
0.0000 8.4148 0.0000
-1.3300 0.0000 7.7010
Cu Sb Te
2 2 8
Direct
0.0000 0.1897 0.2500
0.0000 0.8103 0.7500
0.5000 0.3531 0.7500
0.5000 0.6469 0.2500
0.1768 0.3817 0.0376
0.1768 0.6183 0.5376
0.2871 0.0836 0.5183
0.2871 0.9164 0.0183
0.7129 0.0836 0.9817
0.7129 0.9164 0.4817
0.8232 0.3817 0.4624
0.8232 0.6183 0.9624
```

## Properties
Space group: P2/c, No. 13
ΔE to the lowest computed polymorph in kJ/mol of formula units: 0
E_tot in eV/cell: -41.09

---

(14)
Cu2SbTe4 | GGA-PBE | optimized geometry

```
Cu2SbTe4
1.0
7.8109 0.0000 0.0000
0.9052 7.7598 0.0000
3.5918 3.1906 6.5332
Cu Sb Te
4 2 8
Direct
0.0000 0.0000 0.0000
0.0054 0.0070 0.4857
0.0443 0.5324 0.9203
0.4748 0.9629 0.5621
0.4848 0.5217 0.2423
0.5439 0.4623 0.7424
0.1768 0.2024 0.0700
0.1894 0.1767 0.5782
0.2705 0.7129 0.9829
0.2929 0.7375 0.5006
0.6936 0.2416 0.5050
0.7644 0.3130 0.9793
0.8047 0.8294 0.4146
0.8294 0.8167 0.9077
```

## Properties
Space group: P1, No. 1
E_tot in eV/cell: -49.26

---

(15)
CuSbTe4 | GGA-PBE | optimized geometry

```
CuSbTe4
1.0
0.0000 4.4448 4.4448
4.4448 0.0000 4.4448
4.4448 4.4448 0.0000
Cu Sb Te
1 1 4
Direct
0.0000 0.0000 0.0000
0.7500 0.7500 0.7500
0.3751 0.3751 0.3751
0.3751 0.3751 0.8748
0.3751 0.8748 0.3751
0.8748 0.3751 0.3751
```

## Properties
Space group: F-43m, No. 216
ΔE to the lowest computed polymorph in kJ/mol of formula units: 394
E_tot in eV/cell: -16.47

---

(16)
Cu2Sb2Te | GGA-PBE | optimized geometry

```
Cu2Sb2Te
1.0
3.6599 0.0000 0.0000
0.0000 3.6599 0.0000
0.0000 0.0000 16.4816
Cu Sb Te
4 4 2
Direct
0.0000 0.5000 0.2500
0.0000 0.5000 0.7500
0.5000 0.0000 0.2500
0.5000 0.0000 0.7500
0.0000 0.0000 0.1290
0.0000 0.0000 0.8710
0.5000 0.5000 0.3710
0.5000 0.5000 0.6290
0.0000 0.0000 0.5000
0.5000 0.5000 0.0000
```

## Properties
Space group: I4/mmm, No. 139
ΔE to the lowest computed polymorph in kJ/mol of formula units: 0
E_tot in eV/cell: -37.41

---

(17)
Cu2SbTe | GGA-PBE | optimized geometry

```
Cu2SbTe
1.0
7.8466 0.0000 0.0000
0.0000 3.7874 0.0000
-2.1609 0.0000 5.7653
Cu Sb Te
4 2 2
Direct
0.0000 0.0000 0.0000
0.2488 0.5000 0.1514
0.5000 0.5000 0.0000
0.7488 0.0000 0.1514
0.0065 0.5000 0.3484
0.5065 0.0000 0.3484
0.2286 0.0000 0.7869
0.7286 0.5000 0.7869
```

## Properties
Space group: Cm, No. 8
E_tot in eV/cell: -30.48

---

(18)
CuSbTe2 | GGA-PBE | optimized geometry

```
CuSbTe2
1.0
5.8782 0.0000 0.0000
0.0000 8.3975 0.0000
0.0000 0.0000 4.1874
Cu Sb Te
2 2 4
Direct
0.0000 0.0000 0.0000
0.5000 0.5000 0.0000
0.0000 0.5000 0.0000
0.5000 0.0000 0.0000
0.0000 0.2247 0.5000
0.0000 0.7753 0.5000
0.5000 0.2753 0.5000
0.5000 0.7247 0.5000
```

## Properties
Space group: Cmmm, No. 65
E_tot in eV/cell: -28.39

---

(19)
CuSbTe2 | GGA-PBE | optimized geometry

```
CuSbTe2
1.0
6.0324 0.0000 0.0000
0.0000 6.0324 0.0000
0.0000 0.0000 5.8764
Cu Sb Te
2 2 4
Direct
0.0000 0.0000 0.0000
0.5000 0.5000 0.5000
0.0000 0.0000 0.5000
0.5000 0.5000 0.0000
0.0000 0.5000 0.0000
0.0000 0.5000 0.5000
0.5000 0.0000 0.0000
0.5000 0.0000 0.5000
```

## Properties
Space group: I4/mmm, No. 139
E_tot in eV/cell: -27.87

---

(20)
Cu2Sb2Te | GGA-PBE | optimized geometry

```
Cu2Sb2Te
1.0
7.4348 0.0000 0.0000
0.0000 7.4348 0.0000
0.0000 0.0000 3.8919
Cu Sb Te
4 4 2
Direct
0.1232 0.3768 0.0000
0.3768 0.8768 0.0000
0.6232 0.1232 0.0000
0.8768 0.6232 0.0000
0.1490 0.6490 0.5000
0.3510 0.1490 0.5000
0.6490 0.8510 0.5000
0.8510 0.3510 0.5000
0.0000 0.0000 0.0000
0.5000 0.5000 0.0000
```

## Properties
Space group: P4/mbm, No. 127
ΔE to the lowest computed polymorph in kJ/mol of formula units: 21
E_tot in eV/cell: -36.97

---

no.,uncorrected formation energy (meV per atom)
1,248
2,268
3,75
4,163
5,476
6,1038
7,1222
8,182
9,1047
10,758
11,1339
12,560
13,40
14,36
15,720
16,175
17,54
18,77
19,141
20,219